Computed, not measured: a relaxed BaNa2WF8 crystal at the PBE with a Hubbard U level of DFT.

Computed properties:
For the total magnetization, the calculation gives 2.00 Bohr magnetons per cell. The calculation puts the volume at 16.77 A^3/atom. As for the total energy: -62.99 eV/f.u.

a b c (Å): 4.536 5.652 7.895
angles (deg): 85.19 87.13 87.13
Fractional coordinates of all 12 atoms:
Ba  0.000  0.000  0.500
Na  0.463  0.466  0.734
Na  0.537  0.534  0.266
W  0.000  0.000  0.000
F  0.122  0.776  0.210
F  0.662  0.786  0.021
F  0.838  0.206  0.183
F  0.878  0.224  0.790
F  0.338  0.214  0.979
F  0.162  0.794  0.817
F  0.543  0.741  0.507
F  0.457  0.259  0.493